Computed, not measured: a relaxed structure of LaDyNi at the PBE level of DFT. Values from VASP.

Computed properties:
space group	I4mm (107)
formation energy from the elements	-0.19	eV/atom
magnetization	0.00	μB/f.u.

Geometry as Quantum ESPRESSO input:
```
&SYSTEM
  ibrav = 0, nat = 3, ntyp = 3
/
ATOMIC_SPECIES
La 138.91 La.upf
Dy 162.50 Dy.upf
Ni 58.69 Ni.upf
ATOMIC_POSITIONS crystal
La 0.000 0.000 0.000
Dy 0.259 0.259 0.000
Ni 0.645 0.645 0.000
CELL_PARAMETERS angstrom
-1.742 1.742 6.396
1.742 -1.742 6.396
1.742 1.742 -6.396
```


Computed, not measured: a relaxed structure of FeTc2Ag at the PBE level of DFT. Values from VASP.

Computed properties:
space group	Pmm2 (25)
formation energy from the elements	0.35	eV/atom
magnetization	2.57	μB/f.u.

Geometry as Quantum ESPRESSO input:
```
&SYSTEM
  ibrav = 0, nat = 4, ntyp = 3
/
ATOMIC_SPECIES
Fe 55.84 Fe.upf
Tc 98.00 Tc.upf
Ag 107.87 Ag.upf
ATOMIC_POSITIONS crystal
Fe 0.000 0.000 0.000
Tc 0.000 0.000 0.450
Tc 0.500 0.500 0.238
Ag 0.500 0.500 0.743
CELL_PARAMETERS angstrom
2.749 0.000 0.000
0.000 3.855 0.000
0.000 0.000 5.600
```


Q: Which excess energy over the best structure of this formula in the dataset values were calculated for the entries above? A: 83, 37, in meV per atom.
Q: Which N(E_F) values were calculated for the entries above? A: 4.0, 4.0, in states/eV/cell.